(1)
This record from the Alexandria database describes Sm5Sb4H after structural relaxation. The functional is PBE.

Lattice parameters (Å, degrees): 6.267 7.619 7.619 80.26 65.72 65.72
Sites, in units of the cell vectors:
Sm  0.105  0.594  0.200
Sm  0.699  0.200  0.406
Sm  0.305  0.800  0.594
Sm  0.434  0.000  0.000
Sm  0.899  0.406  0.800
Sb  0.403  0.397  0.801
Sb  0.800  0.801  0.603
Sb  0.204  0.199  0.397
Sb  0.600  0.603  0.199
H  0.062  0.000  0.000

Output
As for the space group: I4, No. 79.

(2)
This record from the Alexandria database describes Mn2BiH2 after structural relaxation. The functional is PBE.

Lattice parameters (Å, degrees): 3.531 3.531 5.562 71.49 71.49 90.00
Each line ends with the local moment (μB).
Sites, in units of the cell vectors:
H  0.250  0.750  0.500  -0.03
H  0.750  0.250  0.500  -0.03
Mn  0.694  0.694  0.612  3.16
Mn  0.306  0.306  0.388  3.16
Bi  0.000  0.000  0.000  -0.14

Output
As for the space group: I4/mmm, No. 139.

| no. | energy (eV per cell) | DOS(E_F) (states/eV/f.u.) |
| --- | --- | --- |
| 1 | -52.6 | 4.36 |
| 2 | -28.1 | 1.76 |